No. 1
V3Zn7H3SO19 at its PBEsol-relaxed geometry, computed with meta-GGA SCAN.

Geometry as POSCAR:
```
V3Zn7H3SO19
1.0
12.7302 0.0000 0.0000
-6.3651 11.0247 0.0000
0.0000 0.0000 5.1689
V Zn H S O
6 14 6 2 38
direct
0.1511 0.3022 0.0000
0.1511 0.8489 0.0000
0.3022 0.1511 0.5000
0.6978 0.8489 0.0000
0.8489 0.1511 0.5000
0.8489 0.6978 0.5000
0.0000 0.0000 0.2927
0.0000 0.0000 0.7927
0.0789 0.4254 0.4747
0.0789 0.6535 0.4747
0.3465 0.4254 0.4747
0.3465 0.9211 0.4747
0.4254 0.0789 0.9747
0.4254 0.3465 0.9747
0.5746 0.6535 0.4747
0.5746 0.9211 0.4747
0.6535 0.0789 0.9747
0.6535 0.5746 0.9747
0.9211 0.3465 0.9747
0.9211 0.5746 0.9747
0.1307 0.5653 0.0885
0.4347 0.5653 0.0885
0.4347 0.8693 0.0885
0.5653 0.1307 0.5885
0.5653 0.4347 0.5885
0.8693 0.4347 0.5885
0.3333 0.6667 0.7214
0.6667 0.3333 0.2214
0.0552 0.5276 0.1909
0.0674 0.3471 0.8188
0.0674 0.7203 0.8188
0.0743 0.1486 0.0428
0.0743 0.9257 0.0428
0.1486 0.0743 0.5428
0.1920 0.3840 0.2886
0.1920 0.8080 0.2886
0.2064 0.6032 0.6172
0.2797 0.3471 0.8188
0.2797 0.9326 0.8188
0.3333 0.6667 0.0031
0.3471 0.0674 0.3188
0.3471 0.2797 0.3188
0.3840 0.1920 0.7886
0.3968 0.6032 0.6172
0.3968 0.7936 0.6172
0.4724 0.5276 0.1909
0.4724 0.9448 0.1909
0.5276 0.0552 0.6909
0.5276 0.4724 0.6909
0.6032 0.2064 0.1172
0.6032 0.3968 0.1172
0.6160 0.8080 0.2886
0.6529 0.7203 0.8188
0.6529 0.9326 0.8188
0.6667 0.3333 0.5030
0.7203 0.0674 0.3188
0.7203 0.6529 0.3188
0.7936 0.3968 0.1172
0.8080 0.1920 0.7886
0.8080 0.6160 0.7886
0.8514 0.9257 0.0428
0.9257 0.0743 0.5428
0.9257 0.8514 0.5428
0.9326 0.2797 0.3188
0.9326 0.6529 0.3188
0.9448 0.4724 0.6909
```

Summary:
- symmetry = P6_3mc
- electronic total energy (eV per cell) = -694.62
- volume (Å³ per cell) = 725.44

=====

No. 2
Y2H16S3O20 at its PBEsol-relaxed geometry, computed with meta-GGA SCAN.

Geometry as POSCAR:
```
Y2H16S3O20
1.0
6.5876 -3.3388 0.0000
6.5876 3.3388 0.0000
-3.8866 0.0000 17.5250
Y H S O
4 32 6 40
direct
0.1435 0.1956 0.3934
0.1956 0.1435 0.8934
0.8044 0.8565 0.1066
0.8565 0.8044 0.6066
0.0316 0.8615 0.3485
0.1385 0.9684 0.1515
0.1679 0.8080 0.9566
0.1920 0.8321 0.5434
0.2004 0.2512 0.2447
0.2085 0.5061 0.9847
0.2512 0.2004 0.7447
0.2821 0.7014 0.1615
0.2912 0.4674 0.4956
0.2986 0.7179 0.3385
0.3053 0.3629 0.8037
0.3255 0.6566 0.6064
0.3434 0.6745 0.8936
0.3629 0.3053 0.3037
0.4674 0.2912 0.9956
0.4939 0.7915 0.5153
0.5061 0.2085 0.4847
0.5326 0.7088 0.0044
0.6371 0.6947 0.6963
0.6566 0.3255 0.1064
0.6745 0.3434 0.3936
0.6947 0.6371 0.1963
0.7014 0.2821 0.6615
0.7088 0.5326 0.5044
0.7179 0.2986 0.8385
0.7488 0.7996 0.2553
0.7915 0.4939 0.0153
0.7996 0.7488 0.7553
0.8080 0.1679 0.4566
0.8321 0.1920 0.0434
0.8615 0.0316 0.8485
0.9684 0.1385 0.6515
0.1802 0.2478 0.0904
0.2478 0.1802 0.5904
0.3350 0.6650 0.7500
0.6650 0.3350 0.2500
0.7522 0.8198 0.4096
0.8198 0.7522 0.9096
0.0511 0.2230 0.0172
0.0867 0.4215 0.5804
0.1188 0.1994 0.1539
0.1188 0.4803 0.1032
0.1217 0.7020 0.7123
0.1319 0.8340 0.1441
0.1660 0.8681 0.3559
0.1994 0.1188 0.6539
0.2019 0.7094 0.5631
0.2230 0.0511 0.5172
0.2567 0.2609 0.7993
0.2609 0.2567 0.2993
0.2906 0.7981 0.9369
0.2980 0.8783 0.7877
0.3261 0.3580 0.9600
0.3580 0.3261 0.4600
0.4215 0.0867 0.0804
0.4305 0.5034 0.8089
0.4803 0.1188 0.6032
0.4966 0.5695 0.6911
0.5034 0.4305 0.3089
0.5197 0.8812 0.3968
0.5695 0.4966 0.1911
0.5785 0.9133 0.9196
0.6420 0.6739 0.5400
0.6739 0.6420 0.0400
0.7020 0.1217 0.2123
0.7094 0.2019 0.0631
0.7391 0.7433 0.7007
0.7433 0.7391 0.2007
0.7770 0.9489 0.4828
0.7981 0.2906 0.4369
0.8006 0.8812 0.3461
0.8340 0.1319 0.6441
0.8681 0.1660 0.8559
0.8783 0.2980 0.2877
0.8812 0.5197 0.8968
0.8812 0.8006 0.8461
0.9133 0.5785 0.4196
0.9489 0.7770 0.9828
```

Summary:
- symmetry = C2/c
- electronic total energy (eV per cell) = -663.82
- volume (Å³ per cell) = 770.91